The following is a meta-GGA SCAN calculation of K5Nb4O12F at its PBEsol-relaxed geometry, from Alexandria via LeMat-Bulk.

Output
Formation energy (no corrections) in eV/atom: -2.67
DOS at the Fermi energy in states/eV/atom: 0.000
E_tot in eV for the cell shown: -622.6
Density in g cm⁻³: 3.58

a b c (Å): 5.105 11.874 12.724
angles (deg): 90.00 110.74 90.00
Space group P2_1/c (No. 14)
Asymmetric unit:
K 0.000 0.000 0.000 (multiplicity 2)
K 0.273 0.146 0.831 (multiplicity 4)
K 0.411 0.668 0.350 (multiplicity 4)
Nb 0.065 0.644 0.023 (multiplicity 4)
Nb 0.329 0.012 0.355 (multiplicity 4)
O 0.003 0.104 0.330 (multiplicity 4)
O 0.083 0.217 0.999 (multiplicity 4)
O 0.150 0.629 0.883 (multiplicity 4)
O 0.282 0.041 0.538 (multiplicity 4)
O 0.321 0.522 0.715 (multiplicity 4)
O 0.451 0.662 0.121 (multiplicity 4)
F 0.500 0.000 0.000 (multiplicity 2)

=====

The following is a meta-GGA SCAN calculation of KNb4O5F at its PBEsol-relaxed geometry, from Alexandria via LeMat-Bulk.

Output
Formation energy (no corrections) in eV/atom: -2.46
DOS at the Fermi energy in states/eV/atom: 0.177
E_tot in eV for the cell shown: -202.6
Density in g cm⁻³: 5.80

a b c (Å): 4.172 4.172 8.383
angles (deg): 90.00 90.00 90.00
Space group P4/mmm (No. 123)
Asymmetric unit:
K 0.000 0.000 0.000 (multiplicity 1)
Nb 0.000 0.500 0.500 (multiplicity 2)
Nb 0.500 0.500 0.262 (multiplicity 2)
O 0.000 0.000 0.500 (multiplicity 1)
O 0.000 0.500 0.249 (multiplicity 4)
F 0.500 0.500 0.000 (multiplicity 1)

=====

The following is a meta-GGA SCAN calculation of KSrNb2O6F at its PBEsol-relaxed geometry, from Alexandria via LeMat-Bulk.

Output
Formation energy (no corrections) in eV/atom: -3.02
DOS at the Fermi energy in states/eV/atom: 0.000
E_tot in eV for the cell shown: -684.0
Density in g cm⁻³: 4.25

a b c (Å): 3.879 7.715 22.304
angles (deg): 90.00 90.00 90.00
Space group Immm (No. 71)
Asymmetric unit:
K 0.000 0.000 0.236 (multiplicity 4)
Sr 0.000 0.000 0.000 (multiplicity 2)
Sr 0.000 0.500 0.000 (multiplicity 2)
Nb 0.000 0.254 0.393 (multiplicity 8)
O 0.000 0.000 0.407 (multiplicity 4)
O 0.000 0.248 0.084 (multiplicity 8)
O 0.000 0.280 0.313 (multiplicity 8)
O 0.000 0.500 0.423 (multiplicity 4)
F 0.000 0.224 0.500 (multiplicity 4)

=====

The following is a meta-GGA SCAN calculation of KRb2NbF6 at its PBEsol-relaxed geometry, from Alexandria via LeMat-Bulk.

Output
Formation energy (no corrections) in eV/atom: -2.93
DOS at the Fermi energy in states/eV/atom: 1.092
E_tot in eV for the cell shown: -534.0
Density in g cm⁻³: 3.65

a b c (Å): 9.118 9.118 9.118
angles (deg): 90.00 90.00 90.00
Space group Fm-3m (No. 225)
Asymmetric unit:
K 0.000 0.000 0.000 (multiplicity 4)
Rb 0.250 0.250 0.250 (multiplicity 8)
Nb 0.000 0.000 0.500 (multiplicity 4)
F 0.000 0.000 0.271 (multiplicity 24)

=====

Q: Which formula does entry 2 have?
A: KNb4O5F

=====

Q: The highest E_tot belongs to which entry?
A: KNb4O5F